! FeSi2Au, optimized geometry, DFT PBE-GGA; values from VASP
&SYSTEM
  ibrav = 0, nat = 4, ntyp = 3
/
ATOMIC_SPECIES
Au 196.97 Au.upf
Si 28.09 Si.upf
Fe 55.84 Fe.upf
CELL_PARAMETERS angstrom
-1.778 2.731 2.693
-4.013 0.555 1.208
-0.422 -2.214 3.879
ATOMIC_POSITIONS crystal
Au 0.511 0.511 0.510
Si 0.747 0.747 0.778
Si 0.974 0.974 0.104
Fe 0.268 0.268 0.108
! E_tot: -0.416 Ry per atom
! Energy relative to the elements, uncorrected: -0.01 eV/atom